A plane-wave DFT calculation with PBE was carried out for a geometry-optimized Y6P2PbSe3 structure.

Values from the calculation:
For the formation energy without anion corrections, the calculation gives -1.548 eV/atom. For the total magnetization, the calculation gives 0.0 μB/cell. The density of states at the Fermi level is 0.401 states/eV/atom. As for the space group: No. 12.

Lattice parameters (Å, degrees): 4.0956 8.3572 9.2478 102.95 102.79 90.00
With the nearest neighbours (Å) after each atom.
Positions (direct):
Y (0.6732, 0.5724, 0.3463)  3 P 2.78-2.82, 3 Se 3.01-3.04
P (0.1685, 0.3376, 0.3369)  6 Y 2.78-2.83
Pb (0.5000, 0.0000, 0.0000)  6 Y 3.00-3.02
Y (0.3268, 0.4276, 0.6537)  3 P 2.78-2.82, 3 Se 3.01-3.04
Se (0.8354, 0.1677, 0.6709)  6 Y 2.87-3.05
P (0.8315, 0.6624, 0.6631)  6 Y 2.78-2.83
Y (0.9928, 0.7353, 0.9857)  1 P 2.83, 3 Se 2.86-3.02, 2 Pb 3.00
Y (0.0072, 0.2647, 0.0143)  1 P 2.83, 3 Se 2.86-3.02, 2 Pb 3.00
Se (0.1646, 0.8323, 0.3291)  6 Y 2.87-3.05
Y (0.6720, 0.1064, 0.3440)  2 P 2.83, 3 Se 2.87-3.05, 1 Pb 3.02
Y (0.3280, 0.8936, 0.6560)  2 P 2.83, 3 Se 2.87-3.05, 1 Pb 3.02
Se (0.5000, 0.5000, 0.0000)  6 Y 2.86-3.04

A plane-wave DFT calculation with PBE was carried out for a geometry-optimized LaGaCu2N structure.

Values from the calculation:
For the formation energy without anion corrections, the calculation gives -0.491 eV/atom. For the total magnetization, the calculation gives 0.0 μB/cell. The density of states at the Fermi level is 0.419 states/eV/atom. As for the space group: No. 63.

Lattice parameters (Å, degrees): 3.6225 6.2755 7.2759 90.00 90.00 106.78
With the nearest neighbours (Å) after each atom.
Positions (direct):
Cu (0.8361, 0.6722, 0.4487)  1 N 2.00
N (0.0000, 0.0000, 0.5000)  2 Cu 2.00
Cu (0.8361, 0.6722, 0.0513)  1 N 2.00
La (0.5332, 0.0664, 0.2500)  4 N 2.60
Ga (0.7376, 0.4752, 0.7500)  6 Cu 2.48-2.49
La (0.4668, 0.9336, 0.7500)  4 N 2.60
Ga (0.2624, 0.5248, 0.2500)  6 Cu 2.48-2.49
N (0.0000, 0.0000, 0.0000)  2 Cu 2.00
Cu (0.1639, 0.3278, 0.5513)  1 N 2.00
Cu (0.1639, 0.3278, 0.9487)  1 N 2.00

A plane-wave DFT calculation with PBE was carried out for a geometry-optimized NaLiSi2 structure.

Values from the calculation:
For the formation energy without anion corrections, the calculation gives 0.004 eV/atom. For the total magnetization, the calculation gives 0.0 μB/cell. The density of states at the Fermi level is 0.118 states/eV/atom. As for the space group: No. 8.

Lattice parameters (Å, degrees): 3.8172 3.8146 7.6127 75.44 90.00 120.02
With the nearest neighbours (Å) after each atom.
Positions (direct):
Si (0.7207, 0.4414, 0.8383)  3 Si 2.37
Na (0.4839, 0.9677, 0.5465)  3 Si 3.06-3.07
Si (0.0138, 0.0276, 0.9590)  3 Si 2.37, 3 Li 2.63
Li (0.2817, 0.5633, 0.1562)  3 Si 2.63

A plane-wave DFT calculation with PBE was carried out for a geometry-optimized Pm8GeTe4Pt3 structure.

Values from the calculation:
For the formation energy without anion corrections, the calculation gives -1.223 eV/atom. For the total magnetization, the calculation gives 0.0 μB/cell. The density of states at the Fermi level is 0.780 states/eV/atom. As for the space group: No. 166.

Lattice parameters (Å, degrees): 8.5315 8.9467 8.5316 118.48 120.00 90.00
With the nearest neighbours (Å) after each atom.
Positions (direct):
Pm (0.2414, 0.7198, 0.4828)  2 Pt 2.95, 1 Ge 2.98, 3 Te 3.22-3.24
Pm (0.2618, 0.2855, 0.5236)  3 Pt 2.94, 3 Te 3.26
Pm (0.7382, 0.7145, 0.4764)  3 Pt 2.94, 3 Te 3.26
Pt (0.0000, 0.5000, 0.5000)  6 Pm 2.94-2.95
Ge (0.0000, 0.5000, 0.0000)  6 Pm 2.98
Pm (0.2414, 0.7198, 0.9785)  2 Pt 2.95, 1 Ge 2.98, 3 Te 3.22-3.24
Te (0.5000, 0.0000, 0.0000)  6 Pm 3.22
Pm (0.7586, 0.2802, 0.0215)  2 Pt 2.95, 1 Ge 2.98, 3 Te 3.22-3.24
Pm (0.7586, 0.2802, 0.5172)  2 Pt 2.95, 1 Ge 2.98, 3 Te 3.22-3.24
Te (0.0000, 0.0000, 0.0000)  6 Pm 3.24-3.26
Pm (0.7371, 0.7198, 0.9785)  2 Pt 2.95, 1 Ge 2.98, 3 Te 3.22-3.24
Te (0.0000, 0.0000, 0.5000)  6 Pm 3.24-3.26
Pm (0.2629, 0.2802, 0.0215)  2 Pt 2.95, 1 Ge 2.98, 3 Te 3.22-3.24
Te (0.5000, 0.0000, 0.5000)  6 Pm 3.24-3.26
Pt (0.5000, 0.5000, 0.0000)  6 Pm 2.94-2.95
Pt (0.5000, 0.5000, 0.5000)  6 Pm 2.94-2.95

A plane-wave DFT calculation with PBE was carried out for a geometry-optimized K2GaTe2 structure.

Values from the calculation:
For the formation energy without anion corrections, the calculation gives -0.529 eV/atom. For the total magnetization, the calculation gives 0.0 μB/cell. The density of states at the Fermi level is 0.968 states/eV/atom. As for the space group: No. 127.

Lattice parameters (Å, degrees): 8.4197 8.4197 5.1328 90.00 90.00 90.00
With the nearest neighbours (Å) after each atom.
Positions (direct):
Te (0.3226, 0.8226, 0.0000)  2 Ga 3.10, 2 K 3.38
K (0.3622, 0.1378, 0.5000)  1 K 3.28, 2 Te 3.38
K (0.1378, 0.6378, 0.5000)  1 K 3.28, 2 Te 3.38
Ga (0.5000, 0.5000, 0.0000)  4 Te 3.10
K (0.6378, 0.8622, 0.5000)  1 K 3.28, 2 Te 3.38
K (0.8622, 0.3622, 0.5000)  1 K 3.28, 2 Te 3.38
Ga (0.0000, 0.0000, 0.0000)  4 Te 3.10
Te (0.6774, 0.1774, 0.0000)  2 Ga 3.10, 2 K 3.38
Te (0.1774, 0.3226, 0.0000)  2 Ga 3.10, 2 K 3.38
Te (0.8226, 0.6774, 0.0000)  2 Ga 3.10, 2 K 3.38

A plane-wave DFT calculation with PBE was carried out for a geometry-optimized VGaSe3 structure.

Values from the calculation:
For the formation energy without anion corrections, the calculation gives -0.150 eV/atom. For the total magnetization, the calculation gives 0.5 μB/cell. The density of states at the Fermi level is 1.016 states/eV/atom. As for the space group: No. 221.

Lattice parameters (Å, degrees): 4.8840 4.8840 4.8840 90.00 90.00 90.00
With the nearest neighbours (Å) after each atom.
Positions (direct):
V (0.0000, 0.0000, 0.0000)  6 Se 2.44
Se (0.0000, 0.5000, 0.0000)  2 V 2.44
Ga (0.5000, 0.5000, 0.5000)  12 Se 3.45
Se (0.5000, 0.0000, 0.0000)  2 V 2.44
Se (0.0000, 0.0000, 0.5000)  2 V 2.44

A plane-wave DFT calculation with PBE was carried out for a geometry-optimized KTlHg14 structure.

Values from the calculation:
For the total magnetization, the calculation gives 0.0 μB/cell. The density of states at the Fermi level is 0.232 states/eV/atom. As for the space group: No. 74. The energy relative to the elements is -0.04 eV/atom.

Lattice parameters (Å, degrees): 11.9450 10.9836 10.9832 82.57 57.06 57.06
With the nearest neighbours (Å) after each atom.
Positions (direct):
Hg (0.6014, 0.9725, 0.8246)  4 Hg 2.98-3.15
Hg (0.6351, 0.6682, 0.5659)  6 Hg 2.98-3.34, 1 Tl 3.26
Hg (0.1308, 0.6682, 0.5659)  6 Hg 2.98-3.34, 1 Tl 3.26
Hg (0.2744, 0.7249, 0.0612)  6 Hg 3.08-3.34
Hg (0.5605, 0.4388, 0.7751)  6 Hg 3.08-3.34
Hg (0.1040, 0.1156, 0.6764)  5 Hg 2.99-3.33
Hg (0.3649, 0.3318, 0.4341)  6 Hg 2.98-3.34, 1 Tl 3.26
K (0.7500, 0.6026, 0.8974)  6 Hg 3.63-3.72
Hg (0.8692, 0.3318, 0.4341)  6 Hg 2.98-3.34, 1 Tl 3.26
Hg (0.0605, 0.2751, 0.9388)  6 Hg 3.08-3.34
K (0.2500, 0.3974, 0.1026)  6 Hg 3.63-3.72
Hg (0.8740, 0.1210, 0.1311)  5 Hg 2.82-3.12
Tl (0.5000, 0.0000, 0.5000)  8 Hg 3.26-3.45
Hg (0.8986, 0.6754, 0.5275)  4 Hg 2.98-3.15
Hg (0.3986, 0.0275, 0.1754)  4 Hg 2.98-3.15
Hg (0.3960, 0.8236, 0.3844)  5 Hg 2.99-3.33
Hg (0.4395, 0.5612, 0.2249)  6 Hg 3.08-3.34
Hg (0.6040, 0.1764, 0.6156)  5 Hg 2.99-3.33
Hg (0.2256, 0.4388, 0.7751)  6 Hg 3.08-3.34
Hg (0.1014, 0.3246, 0.4725)  4 Hg 2.98-3.15
Hg (0.3692, 0.9341, 0.8318)  6 Hg 2.98-3.34, 1 Tl 3.26
Hg (0.1351, 0.0659, 0.1682)  6 Hg 2.98-3.34, 1 Tl 3.26
Hg (0.1260, 0.8790, 0.8689)  5 Hg 2.82-3.12
Hg (0.7256, 0.2751, 0.9388)  6 Hg 3.08-3.34
Hg (0.8649, 0.9341, 0.8318)  6 Hg 2.98-3.34, 1 Tl 3.26
Hg (0.7744, 0.5612, 0.2249)  6 Hg 3.08-3.34
Hg (0.3740, 0.6311, 0.6210)  5 Hg 2.82-3.12
Hg (0.8960, 0.8844, 0.3236)  5 Hg 2.99-3.33
Tl (0.0000, 0.0000, 0.5000)  8 Hg 3.26-3.45
Hg (0.9395, 0.7249, 0.0612)  6 Hg 3.08-3.34
Hg (0.6260, 0.3689, 0.3790)  5 Hg 2.82-3.12
Hg (0.6308, 0.0659, 0.1682)  6 Hg 2.98-3.34, 1 Tl 3.26